A relaxed K2BeNi3F12 crystal. Source: Alexandria, functional GGA+U.

Cell: 6.8921 6.8921 6.8921 Å, 62.37 62.37 62.37°
Fractional coordinates of all 18 atoms:
K  0.1356  0.1356  0.1356
K  0.8644  0.8644  0.8644
Be  0.5000  0.5000  0.5000
Ni  0.0000  0.5000  0.5000
Ni  0.5000  0.0000  0.5000
Ni  0.5000  0.5000  0.0000
F  0.1665  0.1665  0.5644
F  0.1665  0.5644  0.1665
F  0.2052  0.5599  0.5599
F  0.4356  0.8335  0.8335
F  0.4401  0.4401  0.7948
F  0.4401  0.7948  0.4401
F  0.5599  0.2052  0.5599
F  0.5599  0.5599  0.2052
F  0.5644  0.1665  0.1665
F  0.7948  0.4401  0.4401
F  0.8335  0.4356  0.8335
F  0.8335  0.8335  0.4356

SG: R-3m, No. 166
DOS at the Fermi energy, states/eV per atom: 0.439
Uncorrected energy, eV/f.u.: -76.5